This record from Alexandria describes crystalline ZrAl3Fe at its relaxed geometry. The functional is PBE.

a = 4.4268 Å, b = 4.4268 Å, c = 4.4268 Å
α = 90.00°, β = 90.00°, γ = 90.00°
Last column: nearest neighbours and their distance in Å.
Fractional positions:
Al 0.0000 0.5000 0.0000  2 Fe 2.21
Al 0.0000 0.0000 0.5000  2 Fe 2.21
Al 0.5000 0.0000 0.0000  2 Fe 2.21
Fe 0.0000 0.0000 0.0000  6 Al 2.21
Zr 0.5000 0.5000 0.5000  12 Al 3.13

Properties
Size of the total moment: 0.74 Bohr magnetons per cell
Energy relative to the elements: -0.15 eV per formula unit
Calculated volume: 86.8 Å³/f.u.
Polymorph energy (0 for the lowest one): 0 meV per atom
VASP energy: -28.4 eV per formula unit